<A>
Below is a geometry-optimized LaScB2 structure, with properties calculated at the PBE-GGA level.

a b c (Å): 8.096 8.096 8.096
angles (deg): 145.59 145.59 49.46
Positions (direct):
La 0.000 0.000 0.000
La 0.750 0.250 0.500
Sc 0.250 0.750 0.500
Sc 0.500 0.500 0.000
B 0.226 0.625 0.101
B 0.375 0.476 0.601
B 0.524 0.125 0.899
B 0.875 0.774 0.399

<B>
Below is a geometry-optimized LaScB2 structure, with properties calculated at the PBE-GGA level.

a b c (Å): 4.554 4.554 4.554
angles (deg): 60.00 60.00 60.00
Positions (direct):
La 0.000 0.000 0.000
Sc 0.500 0.500 0.500
B 0.250 0.250 0.250
B 0.750 0.750 0.750

The structure with the least stability is <A>.